Material: ZnCd2Os
Method: DFT, PBE
State: optimized geometry

Cell lengths 4.5300, 2.7890, 5.6836 Å; angles 73.96, 90.00, 90.00 degrees
Fractional positions:
Cd 0.0000 0.9153 0.9988
Cd 0.0000 0.5847 0.5012
Zn 0.5000 0.7500 0.7500
Os 0.5000 0.2500 0.2500

Properties
Density (g/cm3): 11.56
DOS at the Fermi energy (states/eV/cell): 1.701
Formation energy (meV per atom): 444
E_tot (eV per atom): -3.139
Total moment (μB per cell): 0.00